1.
# K2RbO

Crystalline K2RbO at its relaxed geometry (PBE-GGA, Alexandria).

SG: No. 166

Unit cell a=4.2961 b=4.2961 c=11.8635 alpha=79.57 beta=79.57 gamma=60.00
Last column: nearest neighbours and their distance in Å.
Element x y z (fractional)
O  0.5000  0.5000  0.5000  6 K 2.72
Rb  0.0000  0.0000  0.0000  6 Rb 4.30, 2 K 4.68
K  0.8654  0.8654  0.4037  3 O 2.72
K  0.1346  0.1346  0.5963  3 O 2.72

=====

2.
# K5Rb7O6

Crystalline K5Rb7O6 at its relaxed geometry (PBE-GGA, Alexandria).

SG: No. 38

Unit cell a=6.4243 b=6.4243 c=12.9353 alpha=90.00 beta=90.00 gamma=93.39
Last column: nearest neighbours and their distance in Å.
Element x y z (fractional)
O  0.4938  0.4938  0.3292  3 K 2.68-2.72, 3 Rb 2.81-2.90
Rb  0.8160  0.1960  0.3316  3 O 2.78-2.90
Rb  0.8060  0.1868  0.0000  3 O 2.79-2.89
O  0.4938  0.4938  0.6708  3 K 2.68-2.72, 3 Rb 2.81-2.90
K  0.3093  0.3093  0.1648  3 O 2.68-2.76
K  0.3093  0.3093  0.8352  3 O 2.68-2.76
Rb  0.1868  0.8060  0.0000  3 O 2.79-2.89
K  0.6853  0.6853  0.1652  3 O 2.70-2.74
K  0.3133  0.3133  0.5000  3 O 2.66-2.72
Rb  0.6914  0.6914  0.5000  3 O 2.81-2.82
O  0.4981  0.4981  0.0000  4 K 2.70, 2 Rb 2.89
Rb  0.1960  0.8160  0.6684  3 O 2.78-2.90
O  0.9960  0.9960  0.8338  2 K 2.74-2.76, 4 Rb 2.78-2.79
Rb  0.8160  0.1960  0.6684  3 O 2.78-2.90
K  0.6853  0.6853  0.8348  3 O 2.70-2.74
O  0.0115  0.0115  0.5000  1 K 2.66, 5 Rb 2.81-2.82
Rb  0.1960  0.8160  0.3316  3 O 2.78-2.90
O  0.9960  0.9960  0.1662  2 K 2.74-2.76, 4 Rb 2.78-2.79

=====

3.
# K2Rb3O

Crystalline K2Rb3O at its relaxed geometry (PBE-GGA, Alexandria).

SG: No. 63

Unit cell a=7.5537 b=11.4074 c=11.4074 alpha=54.75 beta=90.00 gamma=90.00
Last column: nearest neighbours and their distance in Å.
Element x y z (fractional)
Rb  0.2500  0.8141  0.1859  1 O 2.57
O  0.7500  0.4306  0.5694  1 Rb 2.57, 4 K 2.59
Rb  0.7500  0.1859  0.8141  1 O 2.57
Rb  0.2500  0.3378  0.0615  5 Rb 4.76-5.28, 4 K 4.89-5.07
K  0.0000  0.5795  0.5795  2 O 2.59
Rb  0.7500  0.6622  0.9385  5 Rb 4.76-5.28, 4 K 4.89-5.07
O  0.2500  0.5694  0.4306  1 Rb 2.57, 4 K 2.59
K  0.0000  0.4205  0.4205  2 O 2.59
Rb  0.7500  0.0615  0.3378  5 Rb 4.76-5.28, 4 K 4.89-5.07
Rb  0.2500  0.9385  0.6622  5 Rb 4.76-5.28, 4 K 4.89-5.07
K  0.5000  0.5795  0.5795  2 O 2.59
K  0.5000  0.4205  0.4205  2 O 2.59

=====

4.
# KRbO3

Crystalline KRbO3 at its relaxed geometry (PBE-GGA, Alexandria).

SG: No. 221

Unit cell a=4.4870 b=4.4870 c=4.4870 alpha=90.00 beta=90.00 gamma=90.00
Last column: nearest neighbours and their distance in Å.
Element x y z (fractional)
K  0.5000  0.5000  0.5000  12 O 3.17
O  0.5000  0.0000  0.0000  2 Rb 2.24
Rb  0.0000  0.0000  0.0000  6 O 2.24
O  0.0000  0.5000  0.0000  2 Rb 2.24
O  0.0000  0.0000  0.5000  2 Rb 2.24

=====

no.,DOS(E_F) (states/eV/f.u.),ΔE_f (raw) (eV/f.u.)
1,4.202,-2.62
2,0.886,-16.79
3,3.084,-2.87
4,6.832,1.92